Entry 1:
Entry from Alexandria: an optimized crystal structure of ScNb4Tc5 (PBE-GGA).

Computed properties:
D(E_F) = 0.71 states/eV per atom
Raw total energy = -10.17 eV/atom
Space group = No. 123
DFT formation energy = -330 meV per atom

a b c (Å): 3.1990 3.1990 16.0787
angles (deg): 90.00 90.00 90.00
Fractional coordinates of all 10 atoms:
Tc  0.5000  0.5000  0.5000
Nb  0.0000  0.0000  0.4000
Tc  0.5000  0.5000  0.3033
Tc  0.5000  0.5000  0.6967
Nb  0.0000  0.0000  0.8006
Sc  0.0000  0.0000  0.0000
Tc  0.5000  0.5000  0.8920
Nb  0.0000  0.0000  0.6000
Tc  0.5000  0.5000  0.1080
Nb  0.0000  0.0000  0.1994



Entry 2:
Entry from Alexandria: an optimized crystal structure of YAg2Au (PBE-GGA).

Computed properties:
D(E_F) = 0.41 states/eV per atom
Raw total energy = -4.13 eV/atom
Space group = No. 123
DFT formation energy = -269 meV per atom

a b c (Å): 3.6240 3.6238 6.3612
angles (deg): 90.00 90.00 90.00
Fractional coordinates of all 4 atoms:
Au  0.5000  0.5000  0.2500
Y  0.5000  0.5000  0.7500
Ag  0.0000  0.0000  0.0241
Ag  0.0000  0.0000  0.4759



Entry 3:
Entry from Alexandria: an optimized crystal structure of Ho3Tm3Pd4 (PBE-GGA).

Computed properties:
D(E_F) = 0.70 states/eV per atom
Raw total energy = -5.55 eV/atom
Space group = No. 38
DFT formation energy = -763 meV per atom

a b c (Å): 3.9624 7.6978 7.6978
angles (deg): 89.79 90.00 90.00
Fractional coordinates of all 10 atoms:
Tm  0.5000  0.1650  0.8350
Tm  0.0000  0.4994  0.9998
Pd  0.0000  0.3636  0.6364
Tm  0.0000  0.0002  0.5006
Pd  0.0000  0.8677  0.8649
Pd  0.0000  0.1351  0.1323
Pd  0.0000  0.6339  0.3661
Ho  0.5000  0.3349  0.3356
Ho  0.5000  0.6644  0.6651
Ho  0.5000  0.8358  0.1642



Entry 4:
Entry from Alexandria: an optimized crystal structure of Pu2Pa2Si4Pt (PBE-GGA).

Computed properties:
D(E_F) = 1.79 states/eV per atom
Raw total energy = -8.60 eV/atom
Space group = No. 139

a b c (Å): 6.3631 6.3631 6.3631
angles (deg): 98.22 115.38 115.38
Site moments in Bohr magnetons follow the coordinates.
Fractional coordinates of all 9 atoms:
Pa  0.5000  0.2500  0.7500  0.81
Pt  0.0000  0.0000  0.0000  -0.02
Si  0.5073  0.7537  0.7537  -0.05
Pu  0.0000  0.3287  0.3287  5.28
Pa  0.5000  0.7500  0.2500  0.81
Si  0.0000  0.7537  0.2463  -0.05
Pu  0.0000  0.6713  0.6713  5.28
Si  0.0000  0.2463  0.7537  -0.05
Si  0.4927  0.2463  0.2463  -0.05